# PBE CaAlCoPb2, relaxed
data_CaAlCoPb2
_chemical_formula_sum 'Ca1 Al1 Co1 Pb2'
_cell_length_a 5.152
_cell_length_b 5.152
_cell_length_c 4.653
_cell_angle_alpha 90.00
_cell_angle_beta 90.00
_cell_angle_gamma 90.00
_space_group_name_H-M_alt 'P 4/m m m'
_space_group_IT_number 123
_space_group_name_Hall '-P 4 2'
loop_
_atom_site_label
_atom_site_type_symbol
_atom_site_fract_x
_atom_site_fract_y
_atom_site_fract_z
Ca1 Ca 0.000 0.000 0.000
Al1 Al 0.500 0.500 0.000
Co1 Co 0.500 0.500 0.500
Pb1 Pb 0.000 0.500 0.500
# Crystal system = tetragonal
# Spin magnetization = 0.000 μB/f.u.
# Density of states at the Fermi level = 4.1 states/eV/f.u.
# E = -4.035 eV per atom
# V = 123.5 Å³ per cell